# 1
# Ho2Mg5Ag4

An optimized crystal structure of Ho2Mg5Ag4 (GGA-PBE, Alexandria).

Output
Raw total energy   -2.658 eV/atom
ΔH_f (0 K)   -0.064 eV/atom
Space group   No. 69
D(E_F)   6.2 states/eV/cell

Geometry as POSCAR:
```
Ho2Mg5Ag4
1.0
0.000 6.124 7.302
2.932 0.000 7.302
2.932 6.124 0.000
Ho Mg Ag
2 5 4
direct
0.160 0.160 0.840
0.840 0.840 0.160
0.000 0.000 0.500
0.250 0.250 0.250
0.500 0.500 0.000
0.500 0.500 0.500
0.750 0.750 0.750
0.236 0.470 0.530
0.470 0.236 0.764
0.530 0.764 0.236
0.764 0.530 0.470
```

# 2
# Ho8MgAg2

An optimized crystal structure of Ho8MgAg2 (GGA-PBE, Alexandria).

Output
Raw total energy   -3.968 eV/atom
ΔH_f (0 K)   0.025 eV/atom
Space group   No. 12
D(E_F)   16.9 states/eV/cell
Energy above the most stable polymorph in this dataset   118.9 kJ/mol of formula units

Geometry as POSCAR:
```
Ho8MgAg2
1.0
4.330 -7.165 0.000
4.330 7.165 0.000
-1.807 0.000 5.146
Ho Mg Ag
8 1 2
direct
0.092 0.326 0.603
0.230 0.770 0.000
0.326 0.092 0.603
0.398 0.398 0.199
0.602 0.602 0.801
0.674 0.908 0.397
0.770 0.230 0.000
0.908 0.674 0.397
0.000 0.000 0.000
0.304 0.696 0.500
0.696 0.304 0.500
```